(1)
Tl2ZnAs (PBE, relaxed); space group = P4/mmm, No. 123
1.0
3.520 0.000 0.000
0.000 3.520 0.000
0.000 0.000 8.063
Tl Zn As
2 1 1
Direct
0.000 0.000 0.246 Tl
0.000 0.000 0.754 Tl
0.500 0.500 0.500 Zn
0.500 0.500 0.000 As


(2)
TlZn3As (PBE, relaxed); space group = Pm-3m, No. 221
1.0
5.015 0.000 0.000
0.000 5.015 0.000
0.000 0.000 5.015
Tl Zn As
1 3 1
Direct
0.000 0.000 0.000 Tl
0.000 0.500 0.500 Zn
0.500 0.000 0.500 Zn
0.500 0.500 0.000 Zn
0.500 0.500 0.500 As


no.,relative energy among the computed polymorphs (kJ/mol of atoms)
1,22.9
2,0.0